Compound: Ce2CdTe
Source: Alexandria
Functional: PBE-GGA
Structure: optimized geometry

## Properties
Relative energy among the computed polymorphs = 0 meV/atom
Symmetry = No. 123
ρ = 7.54 g/cm³
Formation energy from raw total energies = -0.62 eV per atom

Lattice parameters (Å, degrees): 3.867 3.867 7.662 90.00 90.00 90.00
Positions (direct):
Cd  0.500  0.500  0.500
Te  0.500  0.500  0.000
Ce  0.000  0.000  0.240
Ce  0.000  0.000  0.760